DFT (GGA-PBE) results for Ac5Pr2Pb4 after structural relaxation.

```
data_Ac5Pr2Pb4
_chemical_formula_sum 'Ac5 Pr2 Pb4'
_space_group_name_H-M_alt 'P 1'
_space_group_IT_number 1
_cell_length_a 12.588
_cell_length_b 12.588
_cell_length_c 8.864
_cell_angle_alpha 95.46
_cell_angle_beta 95.46
_cell_angle_gamma 17.52
loop_
_space_group_symop_operation_xyz
'x,y,z'
loop_
_atom_site_label
_atom_site_fract_x
_atom_site_fract_y
_atom_site_fract_z
_atom_site_occupancy
Ac1 0.000 0.000 0.000 1
Ac2 0.325 0.325 0.522 1
Ac3 0.371 0.371 0.961 1
Ac4 0.629 0.629 0.039 1
Ac5 0.675 0.675 0.478 1
Pr1 0.227 0.227 0.827 1
Pr2 0.773 0.773 0.173 1
Pb1 0.086 0.086 0.697 1
Pb2 0.466 0.466 0.648 1
Pb3 0.534 0.534 0.352 1
Pb4 0.914 0.914 0.303 1
```

Formation energy ... -0.039 eV per atom
Crystal system ... monoclinic

---

DFT (GGA-PBE) results for Ac3Pr4Pb4 after structural relaxation.

```
data_Ac3Pr4Pb4
_chemical_formula_sum 'Ac3 Pr4 Pb4'
_space_group_name_H-M_alt 'P 1'
_space_group_IT_number 1
_cell_length_a 10.585
_cell_length_b 10.585
_cell_length_c 10.585
_cell_angle_alpha 155.14
_cell_angle_beta 124.36
_cell_angle_gamma 61.85
loop_
_space_group_symop_operation_xyz
'x,y,z'
loop_
_atom_site_label
_atom_site_fract_x
_atom_site_fract_y
_atom_site_fract_z
_atom_site_occupancy
Ac1 0.000 0.000 0.000 1
Ac2 0.394 0.894 0.500 1
Ac3 0.606 0.106 0.500 1
Pr1 0.021 0.329 0.693 1
Pr2 0.364 0.671 0.693 1
Pr3 0.636 0.329 0.307 1
Pr4 0.979 0.671 0.307 1
Pb1 0.248 0.248 0.000 1
Pb2 0.283 0.500 0.783 1
Pb3 0.717 0.500 0.217 1
Pb4 0.752 0.752 0.000 1
```

Formation energy ... -0.416 eV per atom
Crystal system ... orthorhombic